1.
Entry from the Alexandria database: a geometry-optimized Tb3Pm2Pb3 structure (PBE).

Structure (extended XYZ):
```
8
Lattice="-0.625 3.634 -2.524 -4.762 -1.152 -0.479 0.415 4.505 10.339" Properties=species:S:1:pos:R:3 pbc="T T T"
Pb -2.381 -0.576 -0.240
Pb -0.585 1.475 2.268
Tb -3.240 2.620 0.619
Tb -0.312 1.817 -1.262
Pb -4.387 5.513 5.068
Pm -1.426 4.625 3.057
Tb -1.732 4.367 6.717
Pm -3.546 2.362 4.279
```

Output
The calculation puts the energy of formation from the pure elements at -0.38 eV/atom.

***

2.
Entry from the Alexandria database: a geometry-optimized NbPd12Pt7 structure (PBE).

Structure (extended XYZ):
```
20
Lattice="-1.666 -7.270 -1.867 3.454 0.309 6.863 -6.356 4.327 -0.029" Properties=species:S:1:pos:R:3 pbc="T T T"
Pd -3.722 -1.201 0.259
Pd -3.913 2.568 4.199
Pt 0.496 -0.507 2.513
Pt -2.284 -1.317 2.483
Pt -2.322 -3.685 4.150
Pd -5.198 1.027 -0.106
Pt -1.266 -2.283 -0.049
Pd -1.571 1.053 3.432
Pd -0.309 -3.084 2.399
Pd -0.656 -5.202 0.768
Pd -4.260 0.449 2.568
Pd -0.847 -1.434 4.708
Pt -5.064 -2.128 2.454
Pd 0.629 -3.661 5.073
Pd -2.997 -3.688 1.534
Pd -5.065 -3.721 -0.196
Nb 0.000 0.000 0.000
Pt -2.247 1.050 0.816
Pt -3.303 -0.352 5.016
Pd 0.496 1.086 5.163
```

Output
The calculation puts the energy of formation from the pure elements at 0.08 eV/atom.

***

3.
Entry from the Alexandria database: a geometry-optimized Na3InC structure (PBE).

Structure (extended XYZ):
```
5
Lattice="-0.974 5.537 -1.872 -4.070 -2.004 -3.811 -4.195 0.659 4.133" Properties=species:S:1:pos:R:3 pbc="T T T"
Na -0.487 2.769 -0.936
Na -2.035 -1.002 -1.906
Na -2.097 0.330 2.067
C -4.620 2.096 -0.775
In 0.000 0.000 0.000
```

Output
The calculation puts the energy of formation from the pure elements at 1.48 eV/atom. The relative energy among the computed polymorphs is 665 meV per atom.

***

Mass density, respectively: 9.7; 13.6; 1.6 Mg/m³.
Magnetic moment, respectively: 0.00; 0.00; 0.27 μB/f.u..